Record 1
Material: SmCo2C2
Method: DFT, PBE-GGA
State: optimized geometry

Properties
As for the energy of formation: -0.13 eV per atom. The calculation puts the calculated volume at 11.65 Å³ per atom. The total magnetic moment comes out at 0.00 μB per formula unit. The final energy comes out at -7.608 eV/atom.

Cell lengths 5.687, 5.687, 5.687 Å; angles 145.66, 145.66, 49.35 degrees
Fractional positions:
Sm 0.000 0.000 0.000
Co 0.250 0.750 0.500
Co 0.750 0.250 0.500
C 0.347 0.347 0.000
C 0.653 0.653 0.000

***

Record 2
Material: Ru3Rh
Method: DFT, PBE-GGA
State: optimized geometry

Properties
As for the energy of formation: 0.01 eV per atom. The calculation puts the calculated volume at 13.94 Å³ per atom. The total magnetic moment comes out at 0.00 μB per formula unit. The final energy comes out at -8.788 eV/atom.

Cell lengths 5.464, 5.464, 4.314 Å; angles 90.00, 90.00, 120.00 degrees
Fractional positions:
Ru 0.166 0.333 0.250
Ru 0.166 0.834 0.250
Ru 0.333 0.166 0.750
Ru 0.667 0.834 0.250
Ru 0.834 0.166 0.750
Ru 0.834 0.667 0.750
Rh 0.333 0.667 0.750
Rh 0.667 0.333 0.250

***

Record 3
Material: LiAcHo2S4
Method: DFT, PBE-GGA
State: optimized geometry

Properties
The calculation puts the calculated volume at 21.99 Å³ per atom. The total magnetic moment comes out at 0.00 μB per formula unit. The final energy comes out at -5.819 eV/atom. The raw formation energy is -14.86 eV/f.u.

Cell lengths 6.913, 6.913, 13.463 Å; angles 90.00, 90.00, 146.84 degrees
Fractional positions:
Li 0.149 0.851 0.750
Li 0.851 0.149 0.250
Ac 0.117 0.883 0.250
Ac 0.883 0.117 0.750
Ho 0.370 0.630 0.055
Ho 0.370 0.630 0.445
Ho 0.630 0.370 0.555
Ho 0.630 0.370 0.945
S 0.000 0.000 0.000
S 0.000 0.000 0.500
S 0.267 0.733 0.620
S 0.267 0.733 0.880
S 0.446 0.554 0.250
S 0.554 0.446 0.750
S 0.733 0.267 0.120
S 0.733 0.267 0.380

***

Record 4
Material: Rb2BaRe2N6
Method: DFT, PBE-GGA
State: optimized geometry

Properties
The calculation puts the calculated volume at 23.70 Å³ per atom. The total magnetic moment comes out at 2.00 μB per formula unit. The final energy comes out at -7.228 eV/atom. The raw formation energy is -0.80 eV/f.u.

Cell lengths 6.755, 6.755, 7.971 Å; angles 119.02, 119.02, 59.91 degrees
Fractional positions:
Rb 0.207 0.207 0.182
Rb 0.793 0.793 0.818
Ba 0.000 0.000 0.500
Re 0.469 0.469 0.807
Re 0.531 0.531 0.193
N 0.234 0.674 0.211
N 0.284 0.284 0.636
N 0.326 0.766 0.789
N 0.674 0.234 0.211
N 0.716 0.716 0.364
N 0.766 0.326 0.789

***

Record 5
Material: Dy2TmAu2
Method: DFT, PBE-GGA
State: optimized geometry

Properties
As for the energy of formation: -0.71 eV per atom. The calculation puts the calculated volume at 25.05 Å³ per atom. The total magnetic moment comes out at 0.00 μB per formula unit. The final energy comes out at -4.754 eV/atom.

Cell lengths 8.155, 8.155, 3.766 Å; angles 90.00, 90.00, 90.00 degrees
Fractional positions:
Dy 0.163 0.337 0.000
Dy 0.337 0.837 0.000
Dy 0.663 0.163 0.000
Dy 0.837 0.663 0.000
Tm 0.000 0.000 0.500
Tm 0.500 0.500 0.500
Au 0.134 0.634 0.500
Au 0.366 0.134 0.500
Au 0.634 0.866 0.500
Au 0.866 0.366 0.500

***

Record 6
Material: LaGe3As
Method: DFT, PBE-GGA
State: optimized geometry

Properties
As for the energy of formation: 0.14 eV per atom. The calculation puts the calculated volume at 25.48 Å³ per atom. The total magnetic moment comes out at 0.00 μB per formula unit. The final energy comes out at -4.544 eV/atom.

Cell lengths 5.032, 5.032, 5.032 Å; angles 90.00, 90.00, 90.00 degrees
Fractional positions:
La 0.000 0.000 0.000
Ge 0.000 0.500 0.500
Ge 0.500 0.000 0.500
Ge 0.500 0.500 0.000
As 0.500 0.500 0.500